# 1
Sm2Dy9Ho (PBE-GGA, optimized geometry); formation enthalpy at 0 K = 0.020 eV/atom; symmetry = P4/mmm, No. 123; relative energy among the computed polymorphs = 0.0 kJ/mol of atoms; calculated total energy = -4.60 eV per atom
1.0
5.027 0.000 0.000
0.000 5.027 0.000
0.000 0.000 15.075
Sm Dy Ho
2 9 1
direct
0.000 0.000 0.167
0.000 0.000 0.833
0.000 0.500 0.000
0.000 0.500 0.335
0.000 0.500 0.665
0.500 0.000 0.000
0.500 0.000 0.335
0.500 0.000 0.665
0.500 0.500 0.168
0.500 0.500 0.500
0.500 0.500 0.832
0.000 0.000 0.500

***

# 2
Sm4Dy3Ho4 (PBE-GGA, optimized geometry); formation enthalpy at 0 K = 0.062 eV/atom; symmetry = P-1, No. 2; relative energy among the computed polymorphs = 0.0 kJ/mol of atoms; calculated total energy = -4.57 eV per atom
1.0
3.513 0.000 0.000
-0.001 5.636 0.000
-1.753 -2.816 17.800
Sm Dy Ho
4 3 4
direct
0.090 0.091 0.181
0.233 0.733 0.465
0.767 0.267 0.535
0.910 0.909 0.819
0.365 0.364 0.728
0.500 0.000 0.000
0.635 0.636 0.272
0.045 0.546 0.091
0.180 0.181 0.361
0.820 0.819 0.639
0.955 0.454 0.909

***

# 3
Sm2DyHo (PBE-GGA, optimized geometry); formation enthalpy at 0 K = 0.131 eV/atom; symmetry = Fm-3m, No. 225; relative energy among the computed polymorphs = 11.3 kJ/mol of atoms; calculated total energy = -4.52 eV per atom
1.0
0.000 4.033 4.033
4.033 0.000 4.033
4.033 4.033 0.000
Sm Dy Ho
2 1 1
direct
0.250 0.250 0.250
0.750 0.750 0.750
0.000 0.000 0.000
0.500 0.500 0.500

***

# 4
Sm2DyHo (PBE-GGA, optimized geometry); formation enthalpy at 0 K = 0.020 eV/atom; symmetry = P4/mmm, No. 123; relative energy among the computed polymorphs = 0.6 kJ/mol of atoms; calculated total energy = -4.63 eV per atom
1.0
5.071 0.000 0.000
0.000 5.071 0.000
0.000 0.000 5.043
Sm Dy Ho
2 1 1
direct
0.000 0.500 0.000
0.500 0.000 0.000
0.000 0.000 0.500
0.500 0.500 0.500